Density functional theory data (PBE-GGA) for crystalline Zn2Mo2As3P at its relaxed geometry.

```
8
Lattice="5.640 -2.938 0.000 5.640 2.938 0.000 -1.866 0.000 5.207" Properties=species:S:1:pos:R:3 pbc="T T T"
Zn 0.804 0.000 1.908
Zn 8.610 0.000 3.299
Mo 4.327 0.112 0.459
Mo 5.087 0.112 4.747
As 4.707 1.220 2.603
As 2.612 -1.561 1.239
As 6.802 -1.561 3.967
P 5.640 -1.750 0.000
```

E_tot: -5.295 eV/atom


Density functional theory data (PBE-GGA) for crystalline Mo5AsPb2 at its relaxed geometry.

```
8
Lattice="5.922 0.000 0.000 0.000 5.922 0.000 0.000 0.000 4.723" Properties=species:S:1:pos:R:3 pbc="T T T"
Mo 0.000 0.000 0.000
Mo 1.744 1.744 2.362
Mo 1.744 4.178 2.362
Mo 4.178 1.744 2.362
Mo 4.178 4.178 2.362
As 0.000 0.000 2.362
Pb 0.000 2.961 0.000
Pb 2.961 0.000 0.000
```

E_tot: -7.545 eV/atom


Density functional theory data (PBE-GGA) for crystalline MoAs2Pb at its relaxed geometry.

```
4
Lattice="0.000 3.400 3.400 3.400 0.000 3.400 3.400 3.400 0.000" Properties=species:S:1:pos:R:3 pbc="T T T"
Mo 0.000 0.000 0.000
As 1.700 1.700 1.700
As 3.400 3.400 3.400
Pb 5.101 5.101 5.101
```

E_tot: -5.198 eV/atom


Density functional theory data (PBE-GGA) for crystalline MoAsPb at its relaxed geometry.

```
3
Lattice="0.000 3.390 3.390 3.390 0.000 3.390 3.390 3.390 0.000" Properties=species:S:1:pos:R:3 pbc="T T T"
Mo 0.000 0.000 0.000
As 3.390 3.390 3.390
Pb 5.085 5.085 5.085
```

E_tot: -5.115 eV/atom


Density functional theory data (PBE-GGA) for crystalline MoAsPb at its relaxed geometry.

```
9
Lattice="4.865 0.000 0.000 -2.433 4.214 0.000 0.000 0.000 9.839" Properties=species:S:1:pos:R:3 pbc="T T T"
Mo 0.000 0.000 0.000
Mo 2.433 1.405 3.848
Mo 2.433 1.405 5.991
As 0.000 2.809 1.236
As 0.000 2.809 4.919
As 0.000 2.809 8.603
Pb 0.000 0.000 3.000
Pb 0.000 0.000 6.838
Pb 2.433 1.405 0.000
```

E_tot: -5.722 eV/atom


Density functional theory data (PBE-GGA) for crystalline MoAsPd2 at its relaxed geometry.

```
4
Lattice="0.000 3.127 3.127 3.127 0.000 3.127 3.127 3.127 0.000" Properties=species:S:1:pos:R:3 pbc="T T T"
Mo 0.000 0.000 0.000
As 4.691 4.691 4.691
Pd 1.564 1.564 1.564
Pd 3.127 3.127 3.127
```

E_tot: -6.528 eV/atom


Density functional theory data (PBE-GGA) for crystalline MoAs2Pd2 at its relaxed geometry.

```
10
Lattice="3.892 0.000 0.000 0.000 3.892 0.000 0.000 0.000 11.502" Properties=species:S:1:pos:R:3 pbc="T T T"
Mo 0.973 0.973 2.418
Mo 2.919 2.919 9.083
As 0.973 0.973 9.833
As 0.973 2.919 5.751
As 2.919 0.973 5.751
As 2.919 2.919 1.669
Pd 0.973 0.973 7.451
Pd 0.973 2.919 0.000
Pd 2.919 0.973 0.000
Pd 2.919 2.919 4.051
```

E_tot: -5.927 eV/atom


Density functional theory data (PBE-GGA) for crystalline MoAsPd at its relaxed geometry.

```
3
Lattice="0.000 2.950 2.950 2.950 0.000 2.950 2.950 2.950 0.000" Properties=species:S:1:pos:R:3 pbc="T T T"
Mo 0.000 0.000 0.000
As 1.475 1.475 1.475
Pd 2.950 2.950 2.950
```

E_tot: -6.906 eV/atom